Density functional theory data (PBE) for an optimized crystal structure of GaTe2OsC.

```
GaTe2OsC
1.0
5.4690 0.0000 0.0000
0.0000 3.7942 0.0000
0.0000 0.0000 5.4690
C Te Os Ga
1 2 1 1
direct
0.0000 0.5000 0.0000
0.0000 0.0000 0.5000
0.5000 0.0000 0.0000
0.0000 0.0000 0.0000
0.5000 0.5000 0.5000
```

Calculated values
* spin magnetization: 0.00 μB per formula unit
* E: -5.30 eV per atom
* space-group type: P4/mmm, No. 123
* formation energy without anion corrections: 0.656 eV/atom


Density functional theory data (PBE) for an optimized crystal structure of Th3Ga2Os2C3.

```
Th3Ga2Os2C3
1.0
-2.2852 1.9491 2.4487
-3.0936 -1.8663 -1.4015
4.1847 -8.8090 7.8508
Th Ga Os C
3 2 2 3
direct
0.6090 0.6090 0.2180
0.3910 0.3910 0.7820
0.0000 0.0000 0.0000
0.7500 0.2500 0.5000
0.2500 0.7500 0.5000
0.8196 0.8196 0.6392
0.1804 0.1804 0.3608
0.8984 0.8984 0.7968
0.5000 0.5000 0.0000
0.1016 0.1016 0.2032
```

Calculated values
* spin magnetization: 0.00 μB per formula unit
* E: -7.97 eV per atom
* space-group type: I4/mmm, No. 139


Density functional theory data (PBE) for an optimized crystal structure of ThGaOs2C.

```
ThGaOs2C
1.0
-0.5635 -1.1822 -3.8840
2.5451 -4.4100 3.1358
-6.6085 -2.5748 1.7425
Th Ga Os C
2 2 4 2
direct
0.4444 0.8888 0.7500
0.5556 0.1112 0.2500
0.7281 0.4563 0.7500
0.2719 0.5437 0.2500
0.1635 0.3270 0.9389
0.8365 0.6730 0.0611
0.1635 0.3270 0.5611
0.8365 0.6730 0.4389
0.0000 0.0000 0.0000
0.0000 0.0000 0.5000
```

Calculated values
* spin magnetization: 0.00 μB per formula unit
* E: -8.72 eV per atom
* space-group type: Cmcm, No. 63